Compound: NpSc3Ag3Te8
Source: Alexandria
Functional: GGA-PBE
Structure: optimized geometry

a b c (Å): 8.4818 8.4825 8.5109
angles (deg): 119.99 90.00 120.00
Sites, in units of the cell vectors:
1 Te 0.7359 0.9918 0.7467
2 Te 0.2557 0.5115 0.7466
3 Te 0.7443 0.4885 0.2534
4 Te 0.7442 0.0082 0.2533
5 Te 0.7475 0.4949 0.7416
6 Te 0.2641 0.0082 0.2533
7 Te 0.2558 0.9918 0.7467
8 Te 0.2525 0.5051 0.2584
9 Ag 0.5000 0.5000 0.0000
10 Ag 0.0000 0.5000 0.0000
11 Ag 0.0000 0.0000 0.0000
12 Sc 0.0000 0.5000 0.5000
13 Sc 0.5000 0.5000 0.5000
14 Sc 0.5000 0.0000 0.5000
15 Np 0.0000 0.0000 0.5000

Properties
energy relative to the elements, uncorrected = -0.685 eV per atom
space group = No. 12